1.
4
Lattice="2.292 1.323 6.549 -2.292 1.323 6.549 0.000 -2.647 6.549" Properties=species:S:1:pos:R:3 comment="PBE USi2Ge, optimized geometry" e_above_lowest_polymorph_mev_per_atom=1148 sg="R-3m (166)" magnetic_moment_mub_per_cell=2.1 crystal_system=trigonal pbc="T T T"
U 0.000 0.000 0.000
Si 0.000 0.000 7.534
Si 0.000 0.000 12.113
Ge 0.000 0.000 9.824

=====

2.
4
Lattice="2.700 0.000 0.000 0.000 2.700 0.000 0.000 0.000 7.440" Properties=species:S:1:pos:R:3 comment="PBE V2SiGe, optimized geometry" sg="P4/mmm (123)" magnetic_moment_mub_per_cell=0.0 crystal_system=tetragonal pbc="T T T"
V 0.000 0.000 1.771
V 0.000 0.000 5.669
Si 1.350 1.350 0.000
Ge 1.350 1.350 3.720

=====

3.
10
Lattice="6.479 0.000 0.000 0.000 6.479 0.000 0.000 0.000 3.406" Properties=species:S:1:pos:R:3 comment="PBE V2Si2Ge, optimized geometry" e_above_lowest_polymorph_mev_per_atom=0 sg="P4/mbm (127)" magnetic_moment_mub_per_cell=0.0 crystal_system=tetragonal pbc="T T T"
V 1.028 2.212 0.000
V 2.212 5.451 0.000
V 4.267 1.028 0.000
V 5.451 4.267 0.000
Si 0.881 4.120 1.703
Si 2.358 0.881 1.703
Si 4.120 5.597 1.703
Si 5.597 2.358 1.703
Ge 0.000 0.000 0.000
Ge 3.239 3.239 0.000

=====

4.
14
Lattice="-3.671 3.671 3.693 3.671 -3.671 3.693 3.671 3.671 -3.693" Properties=species:S:1:pos:R:3 comment="PBE V4SiGe2, optimized geometry" e_above_lowest_polymorph_mev_per_atom=0 sg="I-42d (122)" magnetic_moment_mub_per_cell=0.0 crystal_system=tetragonal pbc="T T T"
V 3.098 2.383 -1.572
V 4.959 0.573 0.275
V 0.573 2.383 -0.275
V 0.573 1.288 2.122
V 1.288 -0.573 5.265
V 3.098 1.288 3.418
V 2.383 4.244 1.572
V -1.288 3.098 3.968
Si 0.000 0.000 0.000
Si 0.000 3.671 1.847
Ge 1.836 -0.873 2.770
Ge 2.798 1.836 0.923
Ge 1.836 4.545 -0.923
Ge 0.873 1.836 4.617

=====

5.
16
Lattice="-3.111 3.111 5.561 3.111 -3.111 5.561 3.111 3.111 -5.561" Properties=species:S:1:pos:R:3 comment="PBE V5Si2Ge, optimized geometry" sg="I4/mcm (140)" magnetic_moment_mub_per_cell=0.0 crystal_system=tetragonal pbc="T T T"
V 0.000 0.000 0.000
V 4.128 1.017 -1.670
V 1.017 2.095 -1.670
V 4.128 1.017 1.670
V 1.017 2.095 1.670
V 0.000 0.000 5.561
V 2.095 1.017 3.891
V -1.017 2.095 3.891
V 2.095 1.017 7.231
V -1.017 2.095 7.231
Si 2.280 0.831 0.000
Si 2.280 -0.831 5.561
Si 0.831 3.942 0.000
Si 0.831 2.280 5.561
Ge 0.000 0.000 2.780
Ge 0.000 0.000 8.341

=====

6.
10
Lattice="2.239 -7.176 0.000 2.239 7.176 0.000 0.000 0.000 4.783" Properties=species:S:1:pos:R:3 comment="PBE V3SiGe, optimized geometry" e_above_lowest_polymorph_mev_per_atom=150 sg="Cmcm (63)" magnetic_moment_mub_per_cell=0.0 crystal_system=orthorhombic pbc="T T T"
V 0.000 0.000 0.000
V 0.000 0.000 2.392
V 1.117 2.670 1.196
V 1.117 -2.670 3.588
V 3.361 2.670 1.196
V 3.361 -2.670 3.588
Si 2.239 0.444 1.196
Si 2.239 -0.444 3.588
Ge 2.239 4.976 1.196
Ge 2.239 -4.976 3.588

=====

7.
10
Lattice="2.620 0.000 0.000 -0.077 7.250 0.000 -0.753 -2.734 8.107" Properties=species:S:1:pos:R:3 comment="PBE V3SiGe, optimized geometry" e_above_lowest_polymorph_mev_per_atom=0 sg="P-1 (2)" magnetic_moment_mub_per_cell=0.0 crystal_system=triclinic pbc="T T T"
V 0.144 2.765 0.865
V -0.010 -1.014 3.030
V 0.465 0.976 4.709
V 1.326 3.540 3.397
V 1.800 5.530 5.077
V 1.646 1.752 7.242
Si 0.576 -0.459 6.848
Si 1.215 4.975 1.258
Ge 0.301 3.372 5.734
Ge 1.490 1.145 2.372

=====

8.
13
Lattice="-2.396 4.302 4.340 2.396 -4.302 4.340 2.396 4.302 -4.340" Properties=species:S:1:pos:R:3 comment="PBE V7Si5Ge, optimized geometry" sg="Imm2 (44)" magnetic_moment_mub_per_cell=0.0 crystal_system=orthorhombic pbc="T T T"
V 0.000 0.000 0.000
V 0.000 0.000 2.138
V 2.396 1.400 1.004
V 0.000 2.781 1.019
V 0.000 5.823 1.019
V 0.000 4.302 3.087
V 0.000 2.902 5.343
Si 1.201 2.134 -1.140
Si 3.591 2.134 -1.140
Si 2.396 0.000 3.248
Si -1.195 2.168 3.200
Si 1.195 2.168 3.200
Ge 0.000 0.000 5.847

=====

no.,uncorrected formation energy (meV per atom),theoretical density (g cm⁻³)
1,810,5.11
2,-121,6.20
3,-200,5.36
4,-278,6.29
5,-496,5.92
6,12,5.48
7,-137,5.47
8,-188,5.29